# BaTaMn2Pt | the Alexandria database | PBE-GGA | relaxed
data_BaTaMn2Pt
_chemical_formula_sum 'Ba1 Ta1 Mn2 Pt1'
_cell_length_a 4.8425
_cell_length_b 4.8425
_cell_length_c 4.9552
_cell_angle_alpha 90.00
_cell_angle_beta 90.00
_cell_angle_gamma 90.00
_space_group_name_H-M_alt 'P 4/m m m'
_space_group_IT_number 123
_space_group_name_Hall '-P 4 2'
loop_
_atom_site_label
_atom_site_type_symbol
_atom_site_fract_x
_atom_site_fract_y
_atom_site_fract_z
Ba1 Ba 0.0000 0.0000 0.0000
Ta1 Ta 0.5000 0.5000 0.0000
Mn1 Mn 0.0000 0.5000 0.5000
Pt1 Pt 0.5000 0.5000 0.5000
# Formation enthalpy at 0 K ... 6.5 eV/f.u.
# Crystal system ... tetragonal